Below is a relaxed structure of ZnAsSe2, with properties calculated at the GGA-PBE level.

Output
symmetry = R-3m, No. 166
DOS at the Fermi energy = 0.661 states/eV per atom
excess energy over the best structure of this formula in the dataset = 227 meV/atom
crystal system = trigonal
spin magnetization = 0.00 μB per cell
uncorrected formation energy = 0.0649 eV per atom

a = 8.0612 Å, b = 8.0612 Å, c = 8.0612 Å
α = 27.36°, β = 27.36°, γ = 27.36°
Closest atoms and distances in Å follow each position.
Fractional coordinates of all 4 atoms:
As1 0.0000 0.0000 0.0000  2 Se 2.48
Zn1 0.5000 0.5000 0.5000  6 Se 2.61
Se1 0.8933 0.8933 0.8933  1 As 2.48, 3 Zn 2.61
Se2 0.1067 0.1067 0.1067  1 As 2.48, 3 Zn 2.61